No. 1
Material: AlRhSe2
Method: DFT, meta-GGA SCAN
State: PBEsol geometry

The space group is P4/mmm (No. 123) and the conventional cell measures 4.5386, 4.5386 and 3.1179 Å, with angles of 90.00, 90.00 and 90.00 degrees. Symmetry generates all atoms from Al at (0.0000, 0.0000, 0.0000), Rh at (0.5000, 0.5000, 0.0000) and Se at (0.0000, 0.5000, 0.5000).

As for the calculated density: 7.44 g cm⁻³. The value obtained for the calculated total energy is -1.4968 Ry per atom. As for the density of states at the Fermi level: 0.54 states/eV per atom.

No. 2
Material: AlRhSe2
Method: DFT, meta-GGA SCAN
State: PBEsol geometry

The space group is Pmmm (No. 47) and the conventional cell measures 3.5286, 3.5859 and 5.6995 Å, with angles of 90.00, 90.00 and 90.00 degrees. Symmetry generates all atoms from Al at (0.0000, 0.0000, 0.0000), Rh at (0.5000, 0.0000, 0.5000), Se at (0.0000, 0.5000, 0.5000) and Se at (0.5000, 0.5000, 0.0000).

As for the calculated density: 6.63 g cm⁻³. The value obtained for the calculated total energy is -1.4926 Ry per atom. As for the density of states at the Fermi level: 0.73 states/eV per atom.

- calculated density of number 2 (AlRhSe2)?
  6.63 g cm⁻³